{
  "formula": "MnAl2Ir",
  "functional": "SCAN",
  "state": "PBEsol geometry",
  "lattice_angstrom": [[4.1806, 0.0000, 0.0000], [0.0000, 4.1806, 0.0000], [0.0000, 0.0000, 2.9496]],
  "species": ["Mn", "Al", "Al", "Ir"],
  "fractional_positions": [[0.0000, 0.0000, 0.0000], [0.0000, 0.5000, 0.5000], [0.5000, 0.0000, 0.5000], [0.5000, 0.5000, 0.0000]],
  "ef_ev_per_atom": -0.7989,
  "total_magnetization_mub_per_atom": 0.4504,
  "crystal_system": "tetragonal",
  "spacegroup": "P4/mmm",
  "vol_a3_per_atom": 12.9
}